Arrangement 1

An optimized crystal structure of TlHg3S, computed with PBE.

Total magnetization, μB per formula unit: 0.0

a b c (Å): 5.395 5.395 5.395
angles (deg): 90.00 90.00 90.00
Fractional coordinates of all 5 atoms:
S  0.000  0.000  0.000
Tl  0.500  0.500  0.500
Hg  0.000  0.000  0.500
Hg  0.000  0.500  0.000
Hg  0.500  0.000  0.000

=====

Arrangement 2

An optimized crystal structure of TlHg3S, computed with PBE.

Total magnetization, μB per formula unit: 1.0

a b c (Å): 5.805 5.805 5.805
angles (deg): 90.00 90.00 90.00
Last column: magnetic moment on the atom in μB.
Fractional coordinates of all 5 atoms:
Hg  0.000  0.000  0.500  0.01
Hg  0.500  0.000  0.000  0.00
Hg  0.000  0.500  0.000  0.01
S  0.500  0.500  0.500  0.61
Tl  0.000  0.000  0.000  -0.01

=====

Q: Which of them is the most stable? A: arrangement 1.

=====

Arrangement 1

An optimized crystal structure of Tl2Hg3S4, computed with PBE.

Total magnetization, μB per formula unit: 0.0

a b c (Å): 6.909 6.909 13.640
angles (deg): 70.28 70.28 58.57
Fractional coordinates of all 18 atoms:
S  0.745  0.405  0.579
S  0.405  0.745  0.079
S  0.954  0.698  0.749
S  0.302  0.046  0.751
S  0.595  0.255  0.921
S  0.255  0.595  0.421
S  0.698  0.954  0.249
S  0.046  0.302  0.251
Hg  0.891  0.109  0.750
Hg  0.342  0.541  0.652
Hg  0.459  0.658  0.848
Hg  0.109  0.891  0.250
Hg  0.658  0.459  0.348
Hg  0.541  0.342  0.152
Tl  0.259  0.125  0.438
Tl  0.741  0.875  0.562
Tl  0.125  0.259  0.938
Tl  0.875  0.741  0.062

=====

Arrangement 2

An optimized crystal structure of Tl2Hg3S4, computed with PBE.

Total magnetization, μB per formula unit: 0.0

a b c (Å): 7.178 9.627 9.628
angles (deg): 114.70 85.07 85.08
Fractional coordinates of all 18 atoms:
S  0.987  0.301  0.882
S  0.082  0.763  0.587
S  0.582  0.587  0.763
S  0.918  0.237  0.413
S  0.013  0.699  0.118
S  0.487  0.882  0.301
S  0.418  0.413  0.237
S  0.513  0.118  0.699
Tl  0.648  0.773  0.560
Tl  0.148  0.560  0.773
Tl  0.852  0.440  0.227
Tl  0.352  0.227  0.440
Hg  0.555  0.732  0.032
Hg  0.445  0.268  0.968
Hg  0.750  0.309  0.691
Hg  0.055  0.032  0.732
Hg  0.945  0.968  0.268
Hg  0.250  0.691  0.309

=====

Q: Which of them is the most stable? A: arrangement 1.

=====

Arrangement 1

An optimized crystal structure of Tm2HgS, computed with PBE.

Total magnetization, μB per formula unit: 0.0

a b c (Å): 3.785 3.785 7.859
angles (deg): 76.06 76.06 60.00
Fractional coordinates of all 4 atoms:
Tm  0.262  0.262  0.213
Tm  0.738  0.738  0.787
S  0.000  0.000  0.000
Hg  0.500  0.500  0.500

=====

Arrangement 2

An optimized crystal structure of Tm2HgS, computed with PBE.

Total magnetization, μB per formula unit: 0.0

a b c (Å): 3.736 3.736 8.073
angles (deg): 76.62 76.62 60.00
Fractional coordinates of all 4 atoms:
S  0.668  0.668  0.996
Tm  0.069  0.069  0.792
Tm  0.263  0.263  0.210
Hg  0.500  0.500  0.501

=====

Q: Which of them is the most stable? A: arrangement 1.

=====

Arrangement 1

An optimized crystal structure of UHgS3, computed with PBE.

Total magnetization, μB per formula unit: 0.0

a b c (Å): 4.516 7.084 10.524
angles (deg): 120.52 102.39 90.00
Fractional coordinates of all 10 atoms:
S  0.173  0.456  0.347
S  0.309  0.012  0.618
S  0.691  0.988  0.382
S  0.827  0.544  0.653
S  0.042  0.804  0.084
S  0.958  0.196  0.916
U  0.155  0.761  0.309
U  0.845  0.239  0.691
Hg  0.442  0.597  0.885
Hg  0.558  0.403  0.115

=====

Arrangement 2

An optimized crystal structure of UHgS3, computed with PBE.

Total magnetization, μB per formula unit: 1.0

a b c (Å): 5.334 7.352 9.610
angles (deg): 114.75 120.58 65.06
Last column: magnetic moment on the atom in μB.
Fractional coordinates of all 10 atoms:
Hg  0.555  0.495  0.950  -0.01
Hg  0.813  0.804  0.105  -0.01
S  0.316  0.204  0.798  -0.06
S  0.052  0.096  0.257  -0.06
S  0.856  0.725  0.732  -0.07
S  0.950  0.934  0.486  -0.08
S  0.418  0.366  0.568  -0.08
S  0.512  0.575  0.322  -0.07
U  0.874  0.353  0.532  1.23
U  0.494  0.947  0.522  1.23

=====

Q: Which of them is the most stable? A: arrangement 2.

=====

Arrangement 1

An optimized crystal structure of VHgS, computed with PBE.

Total magnetization, μB per formula unit: 0.0

a b c (Å): 3.132 3.132 6.373
angles (deg): 90.00 90.00 120.00
Fractional coordinates of all 3 atoms:
S  0.333  0.667  0.448
V  0.667  0.333  0.668
Hg  0.333  0.667  0.020

=====

Arrangement 2

An optimized crystal structure of VHgS, computed with PBE.

Total magnetization, μB per formula unit: 1.2

a b c (Å): 4.878 3.065 8.090
angles (deg): 90.00 90.00 90.00
Last column: magnetic moment on the atom in μB.
Fractional coordinates of all 6 atoms:
Hg  0.000  0.500  0.286  0.01
Hg  0.000  0.000  0.786  0.01
V  0.500  0.000  0.239  1.07
V  0.500  0.500  0.739  1.07
S  0.500  0.500  0.030  -0.08
S  0.500  0.000  0.530  -0.08

=====

Arrangement 3

An optimized crystal structure of VHgS, computed with PBE.

Total magnetization, μB per formula unit: 1.4

a b c (Å): 3.226 3.226 6.417
angles (deg): 90.00 90.00 120.00
Last column: magnetic moment on the atom in μB.
Fractional coordinates of all 3 atoms:
V  0.667  0.333  0.378  1.20
Hg  0.000  0.000  0.035  0.02
S  0.333  0.667  0.587  -0.05

=====

Q: Which of them is the most stable? A: arrangement 1.

=====

Arrangement 1

An optimized crystal structure of V3HgS, computed with PBE.

Total magnetization, μB per formula unit: 7.8

a b c (Å): 4.992 4.992 4.992
angles (deg): 90.00 90.00 90.00
Last column: magnetic moment on the atom in μB.
Fractional coordinates of all 5 atoms:
V  0.000  0.500  0.000  2.34
V  0.500  0.000  0.000  2.34
V  0.000  0.000  0.500  2.34
S  0.500  0.500  0.500  -0.23
Hg  0.000  0.000  0.000  0.00

=====

Arrangement 2

An optimized crystal structure of V3HgS, computed with PBE.

Total magnetization, μB per formula unit: 3.7

a b c (Å): 4.354 4.354 4.354
angles (deg): 90.00 90.00 90.00
Last column: magnetic moment on the atom in μB.
Fractional coordinates of all 5 atoms:
Hg  0.500  0.500  0.500  -0.01
S  0.000  0.000  0.000  -0.05
V  0.000  0.500  0.000  1.10
V  0.500  0.000  0.000  1.10
V  0.000  0.000  0.500  1.10

=====

Q: Which of them is the most stable? A: arrangement 2.

=====

Arrangement 1

An optimized crystal structure of VHg3S, computed with PBE.

Total magnetization, μB per formula unit: 4.7

a b c (Å): 5.356 5.356 5.356
angles (deg): 90.00 90.00 90.00
Last column: magnetic moment on the atom in μB.
Fractional coordinates of all 5 atoms:
Hg  0.000  0.500  0.000  0.07
Hg  0.500  0.000  0.000  0.07
Hg  0.000  0.000  0.500  0.07
V  0.000  0.000  0.000  2.85
S  0.500  0.500  0.500  0.60

=====

Arrangement 2

An optimized crystal structure of VHg3S, computed with PBE.

Total magnetization, μB per formula unit: 4.1

a b c (Å): 5.182 5.182 5.182
angles (deg): 90.00 90.00 90.00
Last column: magnetic moment on the atom in μB.
Fractional coordinates of all 5 atoms:
V  0.500  0.500  0.500  3.08
Hg  0.000  0.500  0.000  0.02
Hg  0.000  0.000  0.500  0.02
Hg  0.500  0.000  0.000  0.02
S  0.000  0.000  0.000  0.09

=====

Q: Which of them is the most stable? A: arrangement 1.

=====

Arrangement 1

An optimized crystal structure of Hg3WS, computed with PBE.

Total magnetization, μB per formula unit: 4.6

a b c (Å): 5.190 5.190 5.190
angles (deg): 90.00 90.00 90.00
Last column: magnetic moment on the atom in μB.
Fractional coordinates of all 5 atoms:
Hg  0.000  0.500  0.000  0.00
Hg  0.500  0.000  0.000  0.00
Hg  0.000  0.000  0.500  0.01
S  0.000  0.000  0.000  -0.01
W  0.500  0.500  0.500  3.28

=====

Arrangement 2

An optimized crystal structure of Hg3WS, computed with PBE.

Total magnetization, μB per formula unit: 3.2

a b c (Å): 5.371 5.371 5.371
angles (deg): 90.00 90.00 90.00
Last column: magnetic moment on the atom in μB.
Fractional coordinates of all 5 atoms:
S  0.500  0.500  0.500  0.67
Hg  0.000  0.500  0.000  0.04
Hg  0.500  0.000  0.000  0.05
Hg  0.000  0.000  0.500  0.04
W  0.000  0.000  0.000  1.55

=====

Q: Which of them is the most stable? A: arrangement 2.

=====

Arrangement 1

An optimized crystal structure of ZnHgS, computed with PBE.

Total magnetization, μB per formula unit: 0.0

a b c (Å): 3.870 3.870 6.894
angles (deg): 90.00 90.00 120.00
Fractional coordinates of all 3 atoms:
Hg  0.000  0.000  0.010
S  0.333  0.667  0.512
Zn  0.667  0.333  0.478

=====

Arrangement 2

An optimized crystal structure of ZnHgS, computed with PBE.

Total magnetization, μB per formula unit: 0.0

a b c (Å): 3.494 3.485 12.929
angles (deg): 97.75 93.61 90.00
Fractional coordinates of all 6 atoms:
Hg  0.736  0.439  0.879
Hg  0.264  0.561  0.121
S  0.277  0.306  0.613
S  0.723  0.694  0.387
Zn  0.232  0.210  0.421
Zn  0.768  0.790  0.579

=====

Q: Which of them is the most stable? A: arrangement 1.

=====

Arrangement 1

An optimized crystal structure of Zn3HgS, computed with PBE.

Total magnetization, μB per formula unit: 0.0

a b c (Å): 4.811 4.811 4.811
angles (deg): 90.00 90.00 90.00
Fractional coordinates of all 5 atoms:
Zn  0.000  0.000  0.500
Zn  0.000  0.500  0.000
Zn  0.500  0.000  0.000
S  0.000  0.000  0.000
Hg  0.500  0.500  0.500

=====

Arrangement 2

An optimized crystal structure of Zn3HgS, computed with PBE.

Total magnetization, μB per formula unit: 0.0

a b c (Å): 5.007 5.007 5.007
angles (deg): 90.00 90.00 90.00
Fractional coordinates of all 5 atoms:
Zn  0.500  0.000  0.000
Zn  0.000  0.000  0.500
Zn  0.000  0.500  0.000
Hg  0.000  0.000  0.000
S  0.500  0.500  0.500

=====

Q: Which of them is the most stable? A: arrangement 1.

=====

Arrangement 1

An optimized crystal structure of Zr2HgS, computed with PBE.

Total magnetization, μB per formula unit: 0.0

a b c (Å): 3.638 3.638 7.582
angles (deg): 76.12 76.12 60.00
Fractional coordinates of all 4 atoms:
S  0.000  0.000  0.000
Zr  0.269  0.269  0.192
Zr  0.731  0.731  0.808
Hg  0.500  0.500  0.500

=====

Arrangement 2

An optimized crystal structure of Zr2HgS, computed with PBE.

Total magnetization, μB per formula unit: 0.0

a b c (Å): 3.612 3.612 7.690
angles (deg): 76.42 76.42 60.00
Fractional coordinates of all 4 atoms:
S  0.667  0.667  0.999
Zr  0.270  0.270  0.190
Zr  0.064  0.064  0.809
Hg  0.499  0.499  0.503

=====

Q: Which of them is the most stable? A: arrangement 1.

=====

Arrangement 1

An optimized crystal structure of ZrHgS3, computed with PBE.

Total magnetization, μB per formula unit: 0.0

a b c (Å): 5.013 5.013 5.013
angles (deg): 90.00 90.00 90.00
Fractional coordinates of all 5 atoms:
S  0.000  0.000  0.500
S  0.500  0.000  0.000
S  0.000  0.500  0.000
Hg  0.500  0.500  0.500
Zr  0.000  0.000  0.000

=====

Arrangement 2

An optimized crystal structure of ZrHgS3, computed with PBE.

Total magnetization, μB per formula unit: 0.9

a b c (Å): 4.886 4.886 4.886
angles (deg): 90.00 90.00 90.00
Last column: magnetic moment on the atom in μB.
Fractional coordinates of all 5 atoms:
Hg  0.000  0.000  0.000  -0.01
S  0.500  0.000  0.000  0.07
S  0.000  0.000  0.500  0.07
S  0.000  0.500  0.000  0.10
Zr  0.500  0.500  0.500  -0.85

=====

Q: Which of them is the most stable? A: arrangement 1.